Entry 1:
VASP calculation (PBE-GGA) on crystalline BaFe2Sb at its relaxed geometry.

a b c (Å): 4.4731 4.4731 6.3057
angles (deg): 69.23 69.23 59.94
Atoms (fractional coordinates):
Ba 0.2500 0.2500 0.2500
Fe 0.0711 0.0711 0.7863
Fe 0.4289 0.4289 0.7137
Sb 0.7500 0.7500 0.7500

Values from the calculation:
SG = R-3m
Raw formation energy = -0.01 eV/atom
Volume = 99.6 Å³/cell

=====

Entry 2:
VASP calculation (PBE-GGA) on crystalline Ba2FeSb2 at its relaxed geometry.

a b c (Å): 7.1023 7.1023 5.7418
angles (deg): 90.00 90.00 90.00
Atoms (fractional coordinates):
Sb 0.3476 0.8476 0.0000
Sb 0.8476 0.6524 0.0000
Sb 0.6524 0.1524 0.0000
Sb 0.1524 0.3476 0.0000
Ba 0.1717 0.6717 0.5000
Ba 0.6717 0.8283 0.5000
Ba 0.8283 0.3283 0.5000
Ba 0.3283 0.1717 0.5000
Fe 0.0000 0.0000 0.0000
Fe 0.5000 0.5000 0.0000

Values from the calculation:
SG = P4/mbm
Raw formation energy = -0.20 eV/atom
Volume = 289.6 Å³/cell

=====

Entry 3:
VASP calculation (PBE-GGA) on crystalline BaFe2Sb at its relaxed geometry.

a b c (Å): 3.8445 4.7952 4.7952
angles (deg): 90.00 90.00 90.00
Atoms (fractional coordinates):
Ba 0.5000 0.0000 0.5000
Fe 0.0000 0.0000 0.0000
Fe 0.0000 0.5000 0.5000
Sb 0.5000 0.5000 0.0000

Values from the calculation:
SG = P4/mmm
Raw formation energy = 0.65 eV/atom
Volume = 88.4 Å³/cell

=====

Entry 4:
VASP calculation (PBE-GGA) on crystalline Ba2Fe2Sb at its relaxed geometry.

a b c (Å): 11.0247 11.0247 11.0247
angles (deg): 161.01 161.01 26.98
Atoms (fractional coordinates):
Ba 0.6160 0.6160 0.0000
Ba 0.3840 0.3840 0.0000
Fe 0.2500 0.7500 0.5000
Fe 0.7500 0.2500 0.5000
Sb 0.0000 0.0000 0.0000

Values from the calculation:
SG = I4/mmm
Raw formation energy = 0.19 eV/atom
Volume = 141.8 Å³/cell

=====

Entry 5:
VASP calculation (PBE-GGA) on crystalline BaFe2Sb at its relaxed geometry.

a b c (Å): 3.8673 3.4145 7.3061
angles (deg): 79.86 90.00 90.00
Atoms (fractional coordinates):
Ba 0.5000 0.7410 0.7568
Fe 0.0000 0.9697 0.1362
Fe 0.5000 0.4209 0.1834
Sb 0.0000 0.3684 0.4236

Values from the calculation:
SG = Pm
Raw formation energy = 0.23 eV/atom
Volume = 95.0 Å³/cell

=====

Entry 6:
VASP calculation (PBE-GGA) on crystalline BaFe3Sb at its relaxed geometry.

a b c (Å): 4.8185 4.8185 4.8185
angles (deg): 90.00 90.00 90.00
Atoms (fractional coordinates):
Sb 0.0000 0.0000 0.0000
Ba 0.5000 0.5000 0.5000
Fe 0.0000 0.5000 0.0000
Fe 0.0000 0.0000 0.5000
Fe 0.5000 0.0000 0.0000

Values from the calculation:
SG = Pm-3m
Raw formation energy = 1.17 eV/atom
Volume = 111.9 Å³/cell

=====

Entry 7:
VASP calculation (PBE-GGA) on crystalline BaFe3Sb at its relaxed geometry.

a b c (Å): 4.9865 4.9865 4.9865
angles (deg): 90.00 90.00 90.00
Atoms (fractional coordinates):
Sb 0.5000 0.5000 0.5000
Ba 0.0000 0.0000 0.0000
Fe 0.0000 0.5000 0.0000
Fe 0.0000 0.0000 0.5000
Fe 0.5000 0.0000 0.0000

Values from the calculation:
SG = Pm-3m
Raw formation energy = 2.09 eV/atom
Volume = 124.0 Å³/cell

=====

Entry 8:
VASP calculation (PBE-GGA) on crystalline BaFe2Sb at its relaxed geometry.

a b c (Å): 5.2306 5.2306 5.2306
angles (deg): 125.56 110.62 93.80
Atoms (fractional coordinates):
Ba 0.2500 0.7500 0.5000
Fe 0.9070 0.9070 0.0000
Fe 0.5930 0.5930 0.0000
Sb 0.7500 0.2500 0.5000

Values from the calculation:
SG = Immm
Raw formation energy = 0.40 eV/atom
Volume = 101.8 Å³/cell

=====

Entry 9:
VASP calculation (PBE-GGA) on crystalline BaFe2Sb at its relaxed geometry.

a b c (Å): 5.1350 5.1350 5.1350
angles (deg): 120.33 120.33 89.43
Atoms (fractional coordinates):
Ba 0.7500 0.2500 0.5000
Fe 0.0000 0.0000 0.0000
Fe 0.2500 0.7500 0.5000
Sb 0.5000 0.5000 0.0000

Values from the calculation:
SG = I-4m2
Raw formation energy = 0.67 eV/atom
Volume = 95.3 Å³/cell

=====

Entry 10:
VASP calculation (PBE-GGA) on crystalline Ba2FeSb at its relaxed geometry.

a b c (Å): 6.8916 6.8916 5.3127
angles (deg): 67.33 67.33 36.21
Atoms (fractional coordinates):
Ba 0.9809 0.9809 0.0192
Ba 0.7723 0.7723 0.7277
Fe 0.5565 0.5565 0.4434
Sb 0.1903 0.1903 0.3097

Values from the calculation:
SG = Imm2
Raw formation energy = -0.11 eV/atom
Volume = 136.3 Å³/cell

=====

Entry 11:
VASP calculation (PBE-GGA) on crystalline BaFe2Sb at its relaxed geometry.

a b c (Å): 4.8820 4.8820 9.3795
angles (deg): 74.92 74.92 90.00
Atoms (fractional coordinates):
Sb 0.5000 0.5000 0.0000
Sb 0.2500 0.7500 0.5000
Ba 0.0000 0.0000 0.0000
Ba 0.7500 0.2500 0.5000
Fe 0.3750 0.1250 0.2500
Fe 0.3750 0.6250 0.2500
Fe 0.3750 0.6250 0.7500
Fe 0.8750 0.6250 0.7500

Values from the calculation:
SG = I4_1/amd
Raw formation energy = 0.26 eV/atom
Volume = 207.9 Å³/cell

=====

Entry 12:
VASP calculation (PBE-GGA) on crystalline BaFe2Sb at its relaxed geometry.

a b c (Å): 4.6322 3.6272 6.2396
angles (deg): 84.29 90.00 90.00
Atoms (fractional coordinates):
Ba 0.5000 0.7500 0.7500
Fe 0.0000 0.0244 0.1270
Fe 0.0000 0.4756 0.3730
Sb 0.5000 0.2500 0.2500

Values from the calculation:
SG = P2/m
Raw formation energy = 0.36 eV/atom
Volume = 104.3 Å³/cell

=====

Entry 13:
VASP calculation (PBE-GGA) on crystalline BaFe2Sb at its relaxed geometry.

a b c (Å): 3.5973 3.5992 7.0829
angles (deg): 90.00 90.00 90.00
Atoms (fractional coordinates):
Ba 0.5000 0.5000 0.7500
Fe 0.0000 0.0000 0.0890
Fe 0.0000 0.0000 0.4110
Sb 0.5000 0.5000 0.2500

Values from the calculation:
SG = P4/mmm
Raw formation energy = 0.40 eV/atom
Volume = 91.7 Å³/cell

=====

Entry 14:
VASP calculation (PBE-GGA) on crystalline Ba2FeSb at its relaxed geometry.

a b c (Å): 4.4347 4.0829 8.8261
angles (deg): 64.16 90.00 90.00
Atoms (fractional coordinates):
Ba 0.0000 0.0200 0.9934
Ba 0.0000 0.4800 0.5066
Fe 0.5000 0.2500 0.2500
Sb 0.5000 0.7500 0.7500

Values from the calculation:
SG = P2/m
Raw formation energy = 0.04 eV/atom
Volume = 143.8 Å³/cell

=====

Entry 15:
VASP calculation (PBE-GGA) on crystalline BaFe4Sb12 at its relaxed geometry.

a b c (Å): 8.0081 8.0081 8.0081
angles (deg): 109.47 109.47 109.47
Atoms (fractional coordinates):
Ba 0.0000 0.0000 0.0000
Fe 0.0000 0.0000 0.5000
Fe 0.5000 0.0000 0.0000
Fe 0.0000 0.5000 0.0000
Fe 0.5000 0.5000 0.5000
Sb 0.3382 0.1742 0.8360
Sb 0.6618 0.8258 0.1640
Sb 0.6618 0.4979 0.8360
Sb 0.3382 0.5021 0.1640
Sb 0.1742 0.8360 0.3382
Sb 0.8258 0.1640 0.6618
Sb 0.4979 0.8360 0.6618
Sb 0.5021 0.1640 0.3382
Sb 0.8360 0.3382 0.1742
Sb 0.1640 0.6618 0.8258
Sb 0.8360 0.6618 0.4979
Sb 0.1640 0.3382 0.5021

Values from the calculation:
SG = Im-3
Raw formation energy = -0.18 eV/atom
Volume = 395.3 Å³/cell

=====

Entry 16:
VASP calculation (PBE-GGA) on crystalline Ba2FeSb at its relaxed geometry.

a b c (Å): 4.9693 4.9458 6.9922
angles (deg): 90.00 90.00 90.00
Atoms (fractional coordinates):
Ba 0.0000 0.0000 0.8758
Ba 0.5000 0.5000 0.3739
Fe 0.0000 0.0000 0.3768
Sb 0.5000 0.5000 0.8735

Values from the calculation:
SG = Pmm2
Raw formation energy = 0.16 eV/atom
Volume = 171.8 Å³/cell

=====

Entry 17:
VASP calculation (PBE-GGA) on crystalline Ba2FeSb at its relaxed geometry.

a b c (Å): 4.6623 4.9427 6.8526
angles (deg): 68.88 90.00 90.00
Atoms (fractional coordinates):
Ba 0.0000 0.9861 0.9028
Ba 0.5000 0.2679 0.3392
Fe 0.0000 0.6785 0.5181
Sb 0.5000 0.5675 0.7399

Values from the calculation:
SG = Amm2
Raw formation energy = -0.19 eV/atom
Volume = 147.3 Å³/cell

=====

Entry 18:
VASP calculation (PBE-GGA) on crystalline BaFeSb at its relaxed geometry.

a b c (Å): 6.6072 6.6072 3.6867
angles (deg): 73.80 73.80 32.40
Atoms (fractional coordinates):
Ba 0.9967 0.9967 0.0033
Fe 0.2866 0.2866 0.7134
Sb 0.7167 0.7167 0.2833

Values from the calculation:
SG = I4mm
Raw formation energy = 0.08 eV/atom
Volume = 82.5 Å³/cell

=====

Entry 19:
VASP calculation (PBE-GGA) on crystalline BaFe2Sb at its relaxed geometry.

a b c (Å): 5.8105 5.8105 3.3050
angles (deg): 74.50 74.50 110.07
Atoms (fractional coordinates):
Ba 0.0000 0.5000 0.5000
Fe 0.0000 0.0000 0.0000
Fe 0.5000 0.5000 0.0000
Sb 0.5000 0.0000 0.5000

Values from the calculation:
SG = C2/m
Raw formation energy = 0.79 eV/atom
Volume = 92.7 Å³/cell

=====

Entry 20:
VASP calculation (PBE-GGA) on crystalline BaSrFe2Sb at its relaxed geometry.

a b c (Å): 4.8469 6.0512 4.8469
angles (deg): 90.00 90.00 90.00
Atoms (fractional coordinates):
Fe 0.0000 0.0000 0.5000
Fe 0.5000 0.0000 0.0000
Sb 0.5000 0.5000 0.5000
Ba 0.0000 0.0000 0.0000
Sr 0.0000 0.5000 0.0000

Values from the calculation:
SG = P4/mmm
Raw formation energy = 1.71 eV/atom
Volume = 142.2 Å³/cell

=====

Entry 21:
VASP calculation (PBE-GGA) on crystalline Ba2SrFeSb at its relaxed geometry.

a b c (Å): 6.6523 6.2586 6.6523
angles (deg): 90.00 90.00 90.00
Atoms (fractional coordinates):
Fe 0.5000 0.5000 0.5000
Sb 0.0000 0.0000 0.0000
Ba 0.0000 0.0000 0.5000
Ba 0.5000 0.0000 0.0000
Sr 0.0000 0.5000 0.0000

Values from the calculation:
SG = P4/mmm
Raw formation energy = 0.30 eV/atom
Volume = 277.0 Å³/cell

=====

Entry 22:
VASP calculation (PBE-GGA) on crystalline BaTaFeSb2 at its relaxed geometry.

a b c (Å): 5.3368 6.1219 5.3368
angles (deg): 90.00 90.00 90.00
Atoms (fractional coordinates):
Fe 0.5000 0.5000 0.5000
Sb 0.0000 0.0000 0.5000
Sb 0.5000 0.0000 0.0000
Ba 0.0000 0.5000 0.0000
Ta 0.0000 0.0000 0.0000

Values from the calculation:
SG = P4/mmm
Raw formation energy = 0.89 eV/atom
Volume = 174.4 Å³/cell

=====

Entry 23:
VASP calculation (PBE-GGA) on crystalline BaFeSbTe2 at its relaxed geometry.

a b c (Å): 5.5431 5.5431 4.9501
angles (deg): 90.00 90.00 90.00
Atoms (fractional coordinates):
Sb 0.0000 0.0000 0.5000
Te 0.0000 0.5000 0.0000
Te 0.5000 0.0000 0.0000
Ba 0.5000 0.5000 0.5000
Fe 0.0000 0.0000 0.0000

Values from the calculation:
SG = P4/mmm
Raw formation energy = -0.41 eV/atom
Volume = 152.1 Å³/cell

=====

Entry 24:
VASP calculation (PBE-GGA) on crystalline BaFeSb2Te at its relaxed geometry.

a b c (Å): 4.9204 4.9204 6.0563
angles (deg): 90.00 90.00 90.00
Atoms (fractional coordinates):
Sb 0.0000 0.5000 0.0000
Sb 0.5000 0.0000 0.0000
Te 0.0000 0.0000 0.5000
Ba 0.5000 0.5000 0.5000
Fe 0.0000 0.0000 0.0000

Values from the calculation:
SG = P4/mmm
Raw formation energy = -0.28 eV/atom
Volume = 146.6 Å³/cell

=====

Entry 25:
VASP calculation (PBE-GGA) on crystalline BaSc2Fe at its relaxed geometry.

a b c (Å): 3.8836 3.8836 8.8756
angles (deg): 77.37 77.37 60.04
Atoms (fractional coordinates):
Ba 0.7500 0.7500 0.7500
Fe 0.2500 0.2500 0.2500
Sc 0.9624 0.9624 0.1126
Sc 0.5376 0.5376 0.3874

Values from the calculation:
DFT formation energy = 0.253 eV per atom
SG = R-3m
Volume = 112.2 Å³/cell

=====

Entry 26:
VASP calculation (PBE-GGA) on crystalline BaSc2Fe at its relaxed geometry.

a b c (Å): 4.8343 4.8343 7.7069
angles (deg): 73.17 73.17 41.17
Atoms (fractional coordinates):
Ba 0.5871 0.5871 0.4623
Fe 0.2246 0.2246 0.0900
Sc 0.9461 0.9461 0.1015
Sc 0.7422 0.7422 0.8462

Values from the calculation:
DFT formation energy = 0.302 eV per atom
SG = Cm
Volume = 112.8 Å³/cell

=====

Entry 27:
VASP calculation (PBE-GGA) on crystalline Ba2ScFe at its relaxed geometry.

a b c (Å): 5.6439 5.6439 5.6439
angles (deg): 60.00 60.00 60.00
Atoms (fractional coordinates):
Ba 0.0000 0.0000 0.0000
Ba 0.2500 0.2500 0.2500
Fe 0.5000 0.5000 0.5000
Sc 0.7500 0.7500 0.7500

Values from the calculation:
DFT formation energy = 0.752 eV per atom
SG = F-43m
Volume = 127.1 Å³/cell

=====

Entry 28:
VASP calculation (PBE-GGA) on crystalline Ba2ScFe at its relaxed geometry.

a b c (Å): 11.9558 11.9558 8.7730
angles (deg): 47.05 47.05 90.00
Atoms (fractional coordinates):
Sc 0.5000 0.5000 0.0000
Sc 0.2500 0.7500 0.5000
Ba 0.8017 0.1250 0.2500
Ba 0.9483 0.6250 0.2500
Ba 0.3750 0.1983 0.7500
Ba 0.8750 0.0517 0.7500
Fe 0.0000 0.0000 0.0000
Fe 0.7500 0.2500 0.5000

Values from the calculation:
DFT formation energy = 0.588 eV per atom
SG = I-42d
Volume = 335.1 Å³/cell

=====

Entry 29:
VASP calculation (PBE-GGA) on crystalline BaScFe at its relaxed geometry.

a b c (Å): 3.7288 3.7288 7.0744
angles (deg): 90.00 90.00 120.00
Atoms (fractional coordinates):
Ba 0.0000 0.0000 0.0566
Fe 0.6667 0.3333 0.3668
Sc 0.3333 0.6667 0.5767

Values from the calculation:
DFT formation energy = 0.595 eV per atom
SG = P3m1
Volume = 85.2 Å³/cell